1.
The following is a DFT calculation (PBE) of HoTmZr after structural relaxation.

Cell and atoms, written as CIF:
```
data_HoTmZr
_chemical_formula_sum 'Ho4 Tm4 Zr4'
_symmetry_space_group_name_H-M 'C m c m'
_symmetry_Int_Tables_number 63
_symmetry_space_group_name_Hall '-C 2c 2'
_cell_length_a 3.4303
_cell_length_b 17.9784
_cell_length_c 5.4224
_cell_angle_alpha 90.00
_cell_angle_beta 90.00
_cell_angle_gamma 90.00
loop_
_atom_site_label
_atom_site_type_symbol
_atom_site_fract_x
_atom_site_fract_y
_atom_site_fract_z
_atom_site_occupancy
Ho1 Ho 0.0000 0.2146 0.2500 1
Tm1 Tm 0.0000 0.1031 0.7500 1
Zr1 Zr 0.0000 0.4481 0.7500 1
```

Output
**DFT formation energy**: 0.0356 eV per atom
**ΔE to the lowest computed polymorph**: 0 meV/atom
**Total DFT energy (no corrections)**: -5.83 eV/atom


2.
The following is a DFT calculation (PBE) of Ho4Tm6Zr after structural relaxation.

Cell and atoms, written as CIF:
```
data_Ho4Tm6Zr
_chemical_formula_sum 'Ho8 Tm12 Zr2'
_symmetry_space_group_name_H-M 'P 4/m n c'
_symmetry_Int_Tables_number 128
_symmetry_space_group_name_Hall '-P 4 2n'
_cell_length_a 8.6495
_cell_length_b 8.6495
_cell_length_c 8.7553
_cell_angle_alpha 90.00
_cell_angle_beta 90.00
_cell_angle_gamma 90.00
loop_
_atom_site_label
_atom_site_type_symbol
_atom_site_fract_x
_atom_site_fract_y
_atom_site_fract_z
_atom_site_occupancy
Ho1 Ho 0.1462 0.3538 0.2500 1
Tm1 Tm 0.0000 0.0000 0.1734 1
Tm2 Tm 0.1516 0.6531 0.5000 1
Zr1 Zr 0.0000 0.0000 0.5000 1
```

Output
**DFT formation energy**: 0.1508 eV per atom
**Total DFT energy (no corrections)**: -4.73 eV/atom


3.
The following is a DFT calculation (PBE) of Ho3TmZr after structural relaxation.

Cell and atoms, written as CIF:
```
data_Ho3TmZr
_chemical_formula_sum 'Ho6 Tm2 Zr2'
_symmetry_space_group_name_H-M 'P -1'
_symmetry_Int_Tables_number 2
_cell_length_a 3.4347
_cell_length_b 9.1192
_cell_length_c 9.7724
_cell_angle_alpha 105.67
_cell_angle_beta 90.05
_cell_angle_gamma 100.84
loop_
_symmetry_equiv_pos_as_xyz
'x,y,z'
'-x,-y,-z'
loop_
_atom_site_label
_atom_site_type_symbol
_atom_site_fract_x
_atom_site_fract_y
_atom_site_fract_z
_atom_site_occupancy
Ho1 Ho 0.0021 0.0044 0.2495 1
Ho2 Ho 0.2036 0.4068 0.8425 1
Ho3 Ho 0.3935 0.7870 0.4545 1
Tm1 Tm 0.3967 0.7936 0.9402 1
Zr1 Zr 0.2043 0.4083 0.3611 1
```

Output
**DFT formation energy**: 0.0612 eV per atom
**ΔE to the lowest computed polymorph**: 19 meV/atom
**Total DFT energy (no corrections)**: -5.29 eV/atom


4.
The following is a DFT calculation (PBE) of Ho6Tm2Zr after structural relaxation.

Cell and atoms, written as CIF:
```
data_Ho6Tm2Zr
_chemical_formula_sum 'Ho6 Tm2 Zr1'
_symmetry_space_group_name_H-M 'P -6 m 2'
_symmetry_Int_Tables_number 187
_symmetry_space_group_name_Hall 'P -6 2'
_cell_length_a 3.5117
_cell_length_b 3.5117
_cell_length_c 25.5638
_cell_angle_alpha 90.00
_cell_angle_beta 90.00
_cell_angle_gamma 120.00
loop_
_atom_site_label
_atom_site_type_symbol
_atom_site_fract_x
_atom_site_fract_y
_atom_site_fract_z
_atom_site_occupancy
Ho1 Ho 0.0000 0.0000 0.0670 1
Ho2 Ho 0.0000 0.0000 0.2850 1
Ho3 Ho 0.3333 0.6667 0.3987 1
Tm1 Tm 0.3333 0.6667 0.1751 1
Zr1 Zr 0.0000 0.0000 0.5000 1
```

Output
**DFT formation energy**: 0.0663 eV per atom
**ΔE to the lowest computed polymorph**: 0 meV/atom
**Total DFT energy (no corrections)**: -4.93 eV/atom


5.
The following is a DFT calculation (PBE) of Ho12Tm7Zr after structural relaxation.

Cell and atoms, written as CIF:
```
data_Ho12Tm7Zr
_chemical_formula_sum 'Ho24 Tm14 Zr2'
_symmetry_space_group_name_H-M 'I m -3'
_symmetry_Int_Tables_number 204
_symmetry_space_group_name_Hall '-I 2 2 3'
_cell_length_a 11.2746
_cell_length_b 11.2746
_cell_length_c 11.2746
_cell_angle_alpha 90.00
_cell_angle_beta 90.00
_cell_angle_gamma 90.00
loop_
_atom_site_label
_atom_site_type_symbol
_atom_site_fract_x
_atom_site_fract_y
_atom_site_fract_z
_atom_site_occupancy
Ho1 Ho 0.0000 0.2196 0.2204 1
Tm1 Tm 0.0000 0.0000 0.5000 1
Tm2 Tm 0.2500 0.2500 0.2500 1
Zr1 Zr 0.0000 0.0000 0.0000 1
```

Output
**DFT formation energy**: 0.8052 eV per atom
**ΔE to the lowest computed polymorph**: 539 meV/atom
**Total DFT energy (no corrections)**: -3.93 eV/atom


6.
The following is a DFT calculation (PBE) of HoTm4Zr after structural relaxation.

Cell and atoms, written as CIF:
```
data_HoTm4Zr
_chemical_formula_sum 'Ho4 Tm16 Zr4'
_symmetry_space_group_name_H-M 'C 1 2/c 1'
_symmetry_Int_Tables_number 15
_cell_length_a 8.7533
_cell_length_b 14.0080
_cell_length_c 6.1762
_cell_angle_alpha 90.00
_cell_angle_beta 109.44
_cell_angle_gamma 90.00
loop_
_symmetry_equiv_pos_as_xyz
'x,y,z'
'-x,-y,-z'
'-x,y,-z+1/2'
'x,-y,z+1/2'
'x+1/2,y+1/2,z'
'-x+1/2,-y+1/2,-z'
'-x+1/2,y+1/2,-z+1/2'
'x+1/2,-y+1/2,z+1/2'
loop_
_atom_site_label
_atom_site_type_symbol
_atom_site_fract_x
_atom_site_fract_y
_atom_site_fract_z
_atom_site_occupancy
Ho1 Ho 0.0000 0.0927 0.2500 1
Tm1 Tm 0.0951 0.3123 0.5392 1
Tm2 Tm 0.2100 0.1164 0.8669 1
Zr1 Zr 0.0000 0.4973 0.7500 1
```

Output
**DFT formation energy**: 0.1306 eV per atom
**ΔE to the lowest computed polymorph**: 0 meV/atom
**Total DFT energy (no corrections)**: -5.04 eV/atom